1.
Entry from Alexandria: crystalline Ca2ZnCl at its relaxed geometry (GGA-PBE).

Structure (extended XYZ):
```
4
Lattice="1.9599 1.1315 10.3674 -1.9599 1.1315 10.3674 0.0000 -2.2631 10.3674" Properties=species:S:1:pos:R:3 pbc="T T T"
Ca 0.0000 0.0000 0.0000
Ca 0.0000 0.0000 7.1531
Zn 0.0000 0.0000 22.8696
Cl 0.0000 0.0000 15.9557
```

Results
Crystal system ... trigonal
Raw formation energy ... -652 meV/atom
Energy relative to the lowest polymorph listed for this composition ... 1.034 eV/f.u.
N(E_F) ... 1.11 states/eV/atom



2.
Entry from Alexandria: crystalline Tb2CePmY5 at its relaxed geometry (GGA-PBE).

Structure (extended XYZ):
```
18
Lattice="-4.3442 4.3442 7.7481 4.3442 -4.3442 7.7481 4.3442 4.3442 -7.7481" Properties=species:S:1:pos:R:3 pbc="T T T"
Tb 5.3880 1.0438 0.0000
Tb 1.0438 3.3004 0.0000
Tb 3.3004 1.0438 7.7481
Tb -1.0438 3.3004 7.7481
Ce 4.3442 0.0000 3.8740
Ce 0.0000 4.3442 3.8740
Pm 0.0000 0.0000 3.8740
Pm 0.0000 0.0000 11.6221
Y 0.0000 0.0000 0.0000
Y 2.6244 1.7198 -2.1245
Y 2.6244 -1.7198 5.6235
Y 2.6244 1.7198 2.1245
Y 2.6244 -1.7198 9.8726
Y 0.0000 0.0000 7.7481
Y 1.7198 6.0640 -2.1245
Y 1.7198 2.6244 5.6235
Y 1.7198 6.0640 2.1245
Y 1.7198 2.6244 9.8726
```

Results
Crystal system ... tetragonal
N(E_F) ... 1.72 states/eV/atom
VASP energy ... -5.539 eV/atom



N(E_F) of number 1 (Ca2ZnCl)?
1.11 states/eV/atom



The highest N(E_F) belongs to which entry?
Tb2CePmY5



What is the N(E_F) in the second record?
1.72 states/eV/atom